A geometry-optimized PmSnAu structure. Source: the Alexandria database, functional GGA-PBE.

The value obtained for the formation energy from the elements is -0.574 eV per atom. Its space group is I4mm. For the polymorph energy (0 for the lowest one), the calculation gives 0.2794 eV per atom. The spin magnetization is 0.00 μB per atom. Its total energy is -4.584 eV per atom.

Cell: 3.6050 3.6050 6.3234 Å, 106.56 106.56 90.00°
Sites, in units of the cell vectors:
Au (0.2837, 0.2837, 0.5674)
Pm (0.6326, 0.6326, 0.2651)
Sn (0.9337, 0.9337, 0.8674)

***

A geometry-optimized Pm5SnAu2 structure. Source: the Alexandria database, functional GGA-PBE.

The value obtained for the formation energy from the elements is -0.633 eV per atom. Its space group is I4/mcm. The spin magnetization is 0.00 μB per atom. Its total energy is -4.921 eV per atom.

Cell: 8.2763 8.2763 8.9238 Å, 117.63 117.63 90.00°
Sites, in units of the cell vectors:
Pm (0.5128, 0.6981, 0.7109)
Pm (0.5000, 0.5000, 0.0000)
Pm (0.0128, 0.5128, 0.7109)
Pm (0.8019, 0.9872, 0.2891)
Pm (0.4872, 0.3019, 0.2891)
Pm (0.9872, 0.4872, 0.2891)
Pm (0.6981, 0.1981, 0.7109)
Pm (0.1981, 0.0128, 0.7109)
Pm (0.3019, 0.8019, 0.2891)
Pm (0.0000, 0.0000, 0.0000)
Au (0.3659, 0.8659, 0.0000)
Au (0.1341, 0.3659, 0.0000)
Au (0.8659, 0.6341, 0.0000)
Au (0.6341, 0.1341, 0.0000)
Sn (0.2500, 0.2500, 0.5000)
Sn (0.7500, 0.7500, 0.5000)

***

A geometry-optimized Pm2SnAu structure. Source: the Alexandria database, functional GGA-PBE.

The value obtained for the formation energy from the elements is -0.763 eV per atom. Its space group is P2_1/m. For the polymorph energy (0 for the lowest one), the calculation gives 0.0000 eV per atom. The spin magnetization is 0.00 μB per atom. Its total energy is -4.958 eV per atom.

Cell: 4.5593 6.2758 8.4322 Å, 110.99 90.00 90.00°
Sites, in units of the cell vectors:
Au (0.2500, 0.3349, 0.7048)
Au (0.7500, 0.6651, 0.2952)
Pm (0.2500, 0.7768, 0.0834)
Pm (0.7500, 0.2089, 0.4379)
Pm (0.7500, 0.2232, 0.9166)
Pm (0.2500, 0.7911, 0.5621)
Sn (0.7500, 0.6732, 0.7923)
Sn (0.2500, 0.3268, 0.2077)

***

A geometry-optimized Pm2Sn3Au2 structure. Source: the Alexandria database, functional GGA-PBE.

The value obtained for the formation energy from the elements is -0.642 eV per atom. Its space group is Cmcm. For the polymorph energy (0 for the lowest one), the calculation gives 0.0000 eV per atom. The spin magnetization is 0.00 μB per atom. Its total energy is -4.651 eV per atom.

Cell: 4.7183 7.2590 10.6238 Å, 90.00 102.83 90.00°
Sites, in units of the cell vectors:
Pm (0.0316, 0.7500, 0.0633)
Pm (0.9684, 0.2500, 0.9367)
Pm (0.1606, 0.2500, 0.3212)
Pm (0.8394, 0.7500, 0.6788)
Sn (0.4293, 0.5447, 0.8587)
Sn (0.5707, 0.0447, 0.1413)
Sn (0.1957, 0.7500, 0.3915)
Sn (0.5707, 0.4553, 0.1413)
Sn (0.8043, 0.2500, 0.6085)
Sn (0.4293, 0.9553, 0.8587)
Au (0.2957, 0.4731, 0.5913)
Au (0.7044, 0.9731, 0.4087)
Au (0.2957, 0.0269, 0.5913)
Au (0.7044, 0.5269, 0.4087)

***

A geometry-optimized PmSnAu6 structure. Source: the Alexandria database, functional GGA-PBE.

The value obtained for the formation energy from the elements is -0.333 eV per atom. Its space group is Pmm2. For the polymorph energy (0 for the lowest one), the calculation gives 0.0000 eV per atom. The spin magnetization is 0.00 μB per atom. Its total energy is -3.885 eV per atom.

Cell: 4.7691 6.1673 5.7249 Å, 90.00 90.00 90.00°
Sites, in units of the cell vectors:
Au (0.5000, 0.8519, 0.7533)
Au (0.5000, 0.2759, 0.0000)
Au (0.5000, 0.8519, 0.2467)
Au (0.0000, 0.7219, 0.5000)
Au (0.0000, 0.1440, 0.2531)
Au (0.0000, 0.1440, 0.7469)
Sn (0.5000, 0.4043, 0.5000)
Pm (0.0000, 0.6060, 0.0000)

***

A geometry-optimized Pm2Sn2Au3 structure. Source: the Alexandria database, functional GGA-PBE.

The value obtained for the formation energy from the elements is -0.623 eV per atom. Its space group is C2/m. The spin magnetization is 0.00 μB per atom. Its total energy is -4.529 eV per atom.

Cell: 4.7317 6.3184 6.8230 Å, 108.94 90.00 111.99°
Sites, in units of the cell vectors:
Pm (0.6073, 0.2146, 0.3167)
Pm (0.3927, 0.7854, 0.6833)
Au (0.7432, 0.4865, 0.7778)
Au (0.0000, 0.0000, 0.0000)
Au (0.2568, 0.5135, 0.2222)
Sn (0.1083, 0.2166, 0.7047)
Sn (0.8917, 0.7834, 0.2953)